No. 1
{"formula": "LiCr3Hg3O8", "functional": "PBE with a Hubbard U", "state": "relaxed", "crystal_system": "monoclinic", "space_group": "C2/m, No. 12", "lattice_angstrom": [[5.863, 0.000, 0.000], [-2.931, 5.082, 0.665], [0.000, -2.491, 6.365]], "species": ["Hg", "O", "O", "Cr", "O", "Hg", "O", "Cr", "O", "Cr", "O", "Hg", "Li", "O", "O"], "fractional_positions": [[0.500, 0.500, 0.000], [0.334, 0.134, 0.351], [0.200, 0.866, 0.649], [0.500, 0.500, 0.500], [0.797, 0.594, 0.350], [0.000, 0.500, 0.000], [0.666, 0.866, 0.649], [0.000, 0.500, 0.500], [0.310, 0.619, 0.339], [0.500, 0.000, 0.500], [0.800, 0.134, 0.351], [0.000, 0.000, 0.000], [0.000, 0.000, 0.500], [0.690, 0.381, 0.661], [0.203, 0.406, 0.650]]}

No. 2
{"formula": "Li2CrHgO4", "functional": "PBE with a Hubbard U", "state": "relaxed", "crystal_system": "monoclinic", "space_group": "C2/m, No. 12", "lattice_angstrom": [[-1.826, -2.218, 0.710], [-0.416, 0.008, 5.122], [-5.298, 3.787, 4.371]], "species": ["O", "Li", "O", "O", "O", "Cr", "Li", "Hg"], "fractional_positions": [[0.384, 0.330, 0.902], [0.736, 0.708, 0.819], [0.892, 0.944, 0.272], [0.108, 0.056, 0.728], [0.616, 0.670, 0.098], [0.000, 0.000, 0.000], [0.264, 0.292, 0.181], [0.500, 0.500, 0.500]]}

The records above yield total magnetic moment values of 5.1, 2.0 μB/f.u., respectively.
The records above yield calculated total energy values of -5.42, -5.29 eV/atom, respectively.
The records above yield N(E_F) values of 4.0, 0.3 states/eV/cell, respectively.